Below is crystalline NaHf2WO8 at its relaxed geometry, with properties calculated at the PBE with a Hubbard U level.

Computed properties:
Space-group type: Cmmm
Calculated total energy (eV/f.u.): -98.72
Total magnetic moment (μB per atom): 0.06

```
12
Lattice="3.401 -3.465 0.000 3.401 3.465 0.000 0.000 0.000 6.581" Properties=species:S:1:pos:R:3 pbc="T T T"
Na 0.000 0.000 0.000
Hf 3.401 0.000 1.562
Hf 3.401 0.000 5.020
W 0.000 0.000 3.291
O 1.365 0.000 1.928
O 1.365 0.000 4.653
O 3.401 1.463 3.291
O 3.401 1.255 0.000
O 3.401 -1.255 0.000
O 3.401 -1.463 3.291
O 5.438 0.000 1.928
O 5.438 0.000 4.653
```